Record 1
This record from Alexandria describes a PBEsol-optimized structure of CaAgHg2. The functional is SCAN.

Properties
Its total magnetization is 0.00 μB per cell. The crystal system is tetragonal. For the energy of formation from the pure elements, the calculation gives -0.35 eV/atom. The density of states at the Fermi level is 0.36 states/eV per atom.

```
CaAgHg2
1.0
4.497 0.000 0.000
0.000 4.497 0.000
0.000 0.000 4.394
Ca Ag Hg
1 1 2
Direct
0.000 0.000 0.000
0.500 0.500 0.000
0.000 0.500 0.500
0.500 0.000 0.500
```

***

Record 2
This record from Alexandria describes a PBEsol-optimized structure of CaAgTe2I. The functional is SCAN.

Properties
Its total magnetization is 0.00 μB per cell. The crystal system is tetragonal. The value obtained for the uncorrected formation energy is -347 meV per atom. The density of states at the Fermi level is 0.50 states/eV per atom.

```
CaAgTe2I
1.0
5.386 0.000 0.000
0.000 5.386 0.000
0.000 0.000 5.587
Ca Ag Te I
1 1 2 1
Direct
0.000 0.000 0.000
0.500 0.500 0.500
0.000 0.500 0.500
0.500 0.000 0.500
0.500 0.500 0.000
```

***

Record 3
This record from Alexandria describes a PBEsol-optimized structure of Ca2InAg. The functional is SCAN.

Properties
Its total magnetization is 0.01 μB per cell. The crystal system is orthorhombic. For the energy of formation from the pure elements, the calculation gives -0.37 eV/atom. The density of states at the Fermi level is 0.53 states/eV per atom.

```
Ca2InAg
1.0
-1.833 2.623 5.431
1.833 -2.623 5.431
1.833 2.623 -5.431
Ca In Ag
2 1 1
Direct
0.000 0.000 0.000
0.705 0.205 0.500
0.268 0.768 0.500
0.466 0.466 0.000
```

***

Record 4
This record from Alexandria describes a PBEsol-optimized structure of CaIn2Ag. The functional is SCAN.

Properties
Its total magnetization is 0.00 μB per cell. The crystal system is tetragonal. For the energy of formation from the pure elements, the calculation gives -0.31 eV/atom. The density of states at the Fermi level is 0.42 states/eV per atom.

```
CaIn2Ag
1.0
4.436 0.000 0.000
0.000 4.436 0.000
0.000 0.000 4.650
Ca In Ag
1 2 1
Direct
0.000 0.000 0.000
0.000 0.500 0.500
0.500 0.000 0.500
0.500 0.500 0.000
```

***

Record 5
This record from Alexandria describes a PBEsol-optimized structure of CaIn2Ag. The functional is SCAN.

Properties
Its total magnetization is 0.00 μB per cell. The crystal system is cubic. For the energy of formation from the pure elements, the calculation gives -0.31 eV/atom. The density of states at the Fermi level is 0.33 states/eV per atom.

```
CaIn2Ag
1.0
0.000 3.556 3.556
3.556 0.000 3.556
3.556 3.556 0.000
Ca In Ag
1 2 1
Direct
0.000 0.000 0.000
0.250 0.250 0.250
0.500 0.500 0.500
0.750 0.750 0.750
```

***

Record 6
This record from Alexandria describes a PBEsol-optimized structure of CaIn2Ag. The functional is SCAN.

Properties
Its total magnetization is 0.00 μB per cell. The crystal system is trigonal. For the energy of formation from the pure elements, the calculation gives -0.11 eV/atom. The density of states at the Fermi level is 0.46 states/eV per atom.

```
CaIn2Ag
1.0
1.819 1.050 8.752
-1.819 1.050 8.752
0.000 -2.100 8.752
Ca In Ag
1 2 1
Direct
0.000 0.000 0.000
0.238 0.238 0.238
0.762 0.762 0.762
0.500 0.500 0.500
```